Record 1
Here is a relaxed structure of Ce3Bi2H2 from Alexandria. Energies are from PBE.

abc: 10.5603 10.5603 7.9184
angles: 90.00 90.00 157.58
Element x y z (fractional)
1 Ce 0.0843 0.9157 0.5381
2 Ce 0.0843 0.9157 0.9619
3 Ce 0.3022 0.6978 0.7500
4 Ce 0.6978 0.3022 0.2500
5 Ce 0.9157 0.0843 0.0381
6 Ce 0.9157 0.0843 0.4619
7 Bi 0.3212 0.6788 0.2500
8 Bi 0.4734 0.5266 0.7500
9 Bi 0.5266 0.4734 0.2500
10 Bi 0.6788 0.3212 0.7500
11 H 0.1762 0.8238 0.1126
12 H 0.1762 0.8238 0.3874
13 H 0.8238 0.1762 0.6126
14 H 0.8238 0.1762 0.8874

Summary:
As for the space group: Cmcm, No. 63. The value obtained for the total moment is 7.81 μB/cell. The volume is 168 Å³/f.u. The calculation puts the uncorrected energy at -0.18959 hartree per atom. The distance to the lowest polymorph of the same formula is 0.059 eV per atom.



Record 2
Here is a relaxed structure of Ce5Bi2H4 from Alexandria. Energies are from PBE.

abc: 8.4149 7.3595 6.1355
angles: 76.56 58.28 45.17
Element x y z (fractional)
1 Ce 0.0000 0.0000 0.0000
2 Ce 0.0000 0.0000 0.5000
3 Ce 0.2500 0.2500 0.2500
4 Ce 0.5000 0.5000 0.0000
5 Ce 0.7500 0.7500 0.7500
6 Bi 0.3643 0.3643 0.6357
7 Bi 0.6357 0.6357 0.3643
8 H 0.0537 0.7006 0.2994
9 H 0.2994 0.9463 0.0537
10 H 0.7006 0.0537 0.9463
11 H 0.9463 0.2994 0.7006

Summary:
As for the space group: Fmmm, No. 69. The value obtained for the total moment is 6.25 μB/cell. The volume is 223 Å³/f.u. The calculation puts the uncorrected energy at -0.18306 hartree per atom.



Record 3
Here is a relaxed structure of Ce3BiH3 from Alexandria. Energies are from PBE.

abc: 8.3522 8.3522 8.3522
angles: 49.08 49.08 49.08
Element x y z (fractional)
1 Ce 0.1000 0.4248 0.7763
2 Ce 0.2237 0.9000 0.5752
3 Ce 0.4248 0.7763 0.1000
4 Ce 0.5752 0.2237 0.9000
5 Ce 0.7763 0.1000 0.4248
6 Ce 0.9000 0.5752 0.2237
7 Bi 0.3336 0.3336 0.3336
8 Bi 0.6664 0.6664 0.6664
9 H 0.1283 0.7833 0.4688
10 H 0.2167 0.5312 0.8717
11 H 0.4688 0.1283 0.7833
12 H 0.5312 0.8717 0.2167
13 H 0.7833 0.4688 0.1283
14 H 0.8717 0.2167 0.5312

Summary:
As for the space group: R-3, No. 148. The value obtained for the total moment is 6.62 μB/cell. The volume is 153 Å³/f.u. The calculation puts the uncorrected energy at -0.18232 hartree per atom. The distance to the lowest polymorph of the same formula is 0.097 eV per atom.



Record 4
Here is a relaxed structure of Ce5BiH2 from Alexandria. Energies are from PBE.

abc: 4.6943 4.6943 16.0175
angles: 90.00 90.00 90.00
Element x y z (fractional)
1 Ce 0.0000 0.0000 0.0000
2 Ce 0.0000 0.5000 0.1654
3 Ce 0.0000 0.5000 0.3346
4 Ce 0.0000 0.5000 0.6654
5 Ce 0.0000 0.5000 0.8346
6 Ce 0.5000 0.0000 0.1654
7 Ce 0.5000 0.0000 0.3346
8 Ce 0.5000 0.0000 0.6654
9 Ce 0.5000 0.0000 0.8346
10 Ce 0.5000 0.5000 0.5000
11 Bi 0.0000 0.0000 0.5000
12 Bi 0.5000 0.5000 0.0000
13 H 0.0000 0.0000 0.1426
14 H 0.0000 0.0000 0.8574
15 H 0.5000 0.5000 0.3574
16 H 0.5000 0.5000 0.6426

Summary:
As for the space group: I4/mmm, No. 139. The value obtained for the total moment is 7.30 μB/cell. The volume is 176 Å³/f.u. The calculation puts the uncorrected energy at -0.19447 hartree per atom.



Record 5
Here is a relaxed structure of Ce4Bi2H from Alexandria. Energies are from PBE.

abc: 4.9182 15.9481 4.5565
angles: 90.00 90.00 90.00
Element x y z (fractional)
1 Ce 0.0000 0.0000 0.0000
2 Ce 0.0000 0.1740 0.5000
3 Ce 0.0000 0.5000 0.5000
4 Ce 0.0000 0.8260 0.5000
5 Ce 0.5000 0.0000 0.5000
6 Ce 0.5000 0.3260 0.5000
7 Ce 0.5000 0.5000 0.0000
8 Ce 0.5000 0.6740 0.5000
9 Bi 0.0000 0.3476 0.0000
10 Bi 0.0000 0.6524 0.0000
11 Bi 0.5000 0.1524 0.0000
12 Bi 0.5000 0.8476 0.0000
13 H 0.0000 0.0000 0.5000
14 H 0.5000 0.5000 0.5000

Summary:
As for the space group: Cmmm, No. 65. The value obtained for the total moment is 8.12 μB/cell. The volume is 179 Å³/f.u. The calculation puts the uncorrected energy at -0.20265 hartree per atom. The distance to the lowest polymorph of the same formula is 0.022 eV per atom.



Record 6
Here is a relaxed structure of Ce4Bi2H from Alexandria. Energies are from PBE.

abc: 6.0497 6.6429 9.3155
angles: 90.00 99.78 90.00
Element x y z (fractional)
1 Ce 0.1830 0.2500 0.0592
2 Ce 0.1962 0.7500 0.3690
3 Ce 0.2935 0.5384 0.7258
4 Ce 0.2935 0.9616 0.7258
5 Ce 0.7065 0.0384 0.2742
6 Ce 0.7065 0.4616 0.2742
7 Ce 0.8038 0.2500 0.6310
8 Ce 0.8170 0.7500 0.9408
9 Bi 0.2397 0.2500 0.4174
10 Bi 0.3360 0.7500 0.0539
11 Bi 0.6640 0.2500 0.9461
12 Bi 0.7603 0.7500 0.5826
13 H 0.1297 0.2500 0.8010
14 H 0.8703 0.7500 0.1990

Summary:
As for the space group: P2_1/m, No. 11. The value obtained for the total moment is 9.16 μB/cell. The volume is 184 Å³/f.u. The calculation puts the uncorrected energy at -0.20270 hartree per atom. The distance to the lowest polymorph of the same formula is 0.021 eV per atom.



Record 7
Here is a relaxed structure of Ce3BiH3 from Alexandria. Energies are from PBE.

abc: 6.4612 6.4612 6.4612
angles: 90.00 90.00 90.00
Element x y z (fractional)
1 Ce 0.0000 0.2500 0.5000
2 Ce 0.0000 0.7500 0.5000
3 Ce 0.2500 0.5000 0.0000
4 Ce 0.5000 0.0000 0.2500
5 Ce 0.5000 0.0000 0.7500
6 Ce 0.7500 0.5000 0.0000
7 Bi 0.0000 0.0000 0.0000
8 Bi 0.5000 0.5000 0.5000
9 H 0.0000 0.5000 0.2500
10 H 0.0000 0.5000 0.7500
11 H 0.2500 0.0000 0.5000
12 H 0.5000 0.2500 0.0000
13 H 0.5000 0.7500 0.0000
14 H 0.7500 0.0000 0.5000

Summary:
As for the space group: Pm-3n, No. 223. The value obtained for the total moment is 11.39 μB/cell. The volume is 135 Å³/f.u. The calculation puts the uncorrected energy at -0.18590 hartree per atom. The distance to the lowest polymorph of the same formula is 0.000 eV per atom.



Record 8
Here is a relaxed structure of CeBiH from Alexandria. Energies are from PBE.

abc: 6.7224 5.6225 3.3609
angles: 90.00 90.00 90.00
Element x y z (fractional)
1 Ce 0.0000 0.0000 0.0000
2 Ce 0.5000 0.0000 0.0000
3 Bi 0.2500 0.5000 0.4984
4 Bi 0.7500 0.5000 0.5016
5 H 0.2500 0.0000 0.5004
6 H 0.7500 0.0000 0.4996

Summary:
As for the space group: Pmma, No. 51. The value obtained for the total moment is 2.63 μB/cell. The volume is 64 Å³/f.u. The calculation puts the uncorrected energy at -0.17395 hartree per atom. The distance to the lowest polymorph of the same formula is 0.267 eV per atom.